(1)
This record from the Open Quantum Materials Database describes an optimized crystal structure of LaIn4Au2. The functional is GGA-PBE.

DFT total energy   -102.6 eV/cell

abc: 18.7502 4.7510 7.4284
angles: 90.00 90.00 90.00
With the nearest neighbours (Å) after each atom.
Element x y z (fractional)
La 0.1404 0.2500 0.0180  9 In 3.33-3.60, 4 Au 3.48-3.56
La 0.3596 0.7500 0.5180  9 In 3.33-3.60, 4 Au 3.48-3.56
La 0.6404 0.2500 0.4820  9 In 3.33-3.60, 4 Au 3.48-3.56
La 0.8596 0.7500 0.9820  9 In 3.33-3.60, 4 Au 3.48-3.56
In 0.0352 0.7500 0.8488  3 Au 2.82-2.91, 1 In 3.01
In 0.0683 0.2500 0.4887  4 Au 2.83-3.06
In 0.1840 0.7500 0.3206  4 Au 2.80-2.91, 1 In 3.04
In 0.1888 0.7500 0.7291  3 Au 2.83-2.86, 2 In 3.01-3.04
In 0.3112 0.2500 0.2291  3 Au 2.83-2.86, 2 In 3.01-3.04
In 0.3160 0.2500 0.8206  4 Au 2.80-2.91, 1 In 3.04
In 0.4317 0.7500 0.9887  4 Au 2.83-3.06
In 0.4648 0.2500 0.3488  3 Au 2.82-2.91, 1 In 3.01
In 0.5352 0.7500 0.6512  3 Au 2.82-2.91, 1 In 3.01
In 0.5683 0.2500 0.0113  4 Au 2.83-3.06
In 0.6840 0.7500 0.1794  4 Au 2.80-2.91, 1 In 3.04
In 0.6888 0.7500 0.7709  3 Au 2.83-2.86, 2 In 3.01-3.04
In 0.8112 0.2500 0.2709  3 Au 2.83-2.86, 2 In 3.01-3.04
In 0.8160 0.2500 0.6794  4 Au 2.80-2.91, 1 In 3.04
In 0.9317 0.7500 0.5113  4 Au 2.83-3.06
In 0.9648 0.2500 0.1512  3 Au 2.82-2.91, 1 In 3.01
Au 0.0379 0.7500 0.2409  7 In 2.80-3.06
Au 0.2183 0.2500 0.5291  7 In 2.83-2.91
Au 0.2817 0.7500 0.0291  7 In 2.83-2.91
Au 0.4621 0.2500 0.7409  7 In 2.80-3.06
Au 0.5379 0.7500 0.2591  7 In 2.80-3.06
Au 0.7183 0.2500 0.9709  7 In 2.83-2.91
Au 0.7817 0.7500 0.4709  7 In 2.83-2.91
Au 0.9621 0.2500 0.7591  7 In 2.80-3.06


(2)
This record from the Open Quantum Materials Database describes an optimized crystal structure of NbInCuPd. The functional is GGA-PBE.

Polymorph energy (0 for the lowest one)   0 meV/atom

abc: 4.5438 4.5438 4.5438
angles: 60.00 60.00 60.00
With the nearest neighbours (Å) after each atom.
Element x y z (fractional)
Nb 0.0000 0.0000 0.0000  4 Cu 2.78, 4 Pd 2.78
In 0.5000 0.5000 0.5000  4 Cu 2.78, 4 Pd 2.78
Cu 0.7500 0.7500 0.7500  4 Nb 2.78, 4 In 2.78
Pd 0.2500 0.2500 0.2500  4 Nb 2.78, 4 In 2.78


(3)
This record from the Open Quantum Materials Database describes an optimized crystal structure of KTbF5. The functional is GGA-PBE.

DFT total energy   -221.7 eV/cell

abc: 7.1780 8.3520 10.7214
angles: 78.29 74.44 69.60
With the nearest neighbours (Å) after each atom.
Element x y z (fractional)
K 0.2094 0.0037 0.2655  7 F 2.49-2.64
K 0.2210 0.6386 0.5624  7 F 2.48-2.74
K 0.2690 0.3264 0.9227  7 F 2.60-2.87
K 0.7310 0.6736 0.0773  7 F 2.60-2.87
K 0.7790 0.3614 0.4376  7 F 2.48-2.74
K 0.7906 0.9963 0.7345  7 F 2.49-2.64
Tb 0.2009 0.5409 0.2402  8 F 2.20-2.42
Tb 0.2331 0.8349 0.9389  8 F 2.19-2.39
Tb 0.2668 0.1650 0.5832  8 F 2.19-2.35
Tb 0.7332 0.8350 0.4168  8 F 2.19-2.35
Tb 0.7669 0.1651 0.0611  8 F 2.19-2.39
Tb 0.7991 0.4591 0.7598  8 F 2.20-2.42
F 0.0745 0.7522 0.3655  2 Tb 2.22-2.24, 1 K 2.48
F 0.1040 0.0702 0.0423  2 Tb 2.23-2.24
F 0.1088 0.3186 0.1915  1 F 2.01
F 0.1282 0.6102 0.0433  2 Tb 2.22-2.24
F 0.1387 0.3848 0.7067  2 Tb 2.23-2.26
F 0.1436 0.9732 0.5210  1 F 2.10, 1 Tb 2.35
F 0.1648 0.7115 0.7850  1 F 2.01
F 0.1745 0.3781 0.4303  2 Tb 2.21
F 0.1853 0.0522 0.7847  2 Tb 2.19
F 0.3385 0.7430 0.1263  2 Tb 2.23
F 0.4746 0.7583 0.3818  1 F 2.03
F 0.4763 0.5357 0.3330  1 F 2.03
F 0.4776 0.3546 0.1428  2 Tb 2.20-2.21
F 0.4887 0.0910 0.3897  2 Tb 2.27-2.30
F 0.4980 0.9541 0.9220  1 F 1.99
F 0.5020 0.0459 0.0780  1 F 1.99
F 0.5113 0.9090 0.6103  2 Tb 2.27-2.30
F 0.5224 0.6454 0.8572  2 Tb 2.20-2.21
F 0.5237 0.4643 0.6670  1 F 2.03
F 0.5254 0.2417 0.6182  1 F 2.03
F 0.6615 0.2570 0.8737  2 Tb 2.23
F 0.8147 0.9478 0.2153  2 Tb 2.19
F 0.8255 0.6219 0.5697  2 Tb 2.21
F 0.8352 0.2885 0.2150  1 F 2.01
F 0.8564 0.0268 0.4790  1 F 2.10, 1 Tb 2.35
F 0.8613 0.6152 0.2933  2 Tb 2.23-2.26
F 0.8718 0.3898 0.9567  2 Tb 2.22-2.24
F 0.8912 0.6814 0.8085  1 F 2.01
F 0.8960 0.9298 0.9577  2 Tb 2.23-2.24
F 0.9255 0.2478 0.6345  2 Tb 2.22-2.24, 1 K 2.48


(4)
This record from the Open Quantum Materials Database describes an optimized crystal structure of CsLiZnS2. The functional is GGA-PBE.

DFT total energy   -18.0 eV/cell

abc: 7.6602 7.6602 7.6602
angles: 149.22 149.22 44.09
With the nearest neighbours (Å) after each atom.
Element x y z (fractional)
Cs 0.0000 0.0000 0.0000  8 S 3.64, 4 Cs 4.07
Li 0.2500 0.7500 0.5000  4 S 2.42
Zn 0.7500 0.2500 0.5000  4 S 2.42
S 0.3423 0.3423 0.0000  2 Li 2.42, 2 Zn 2.42
S 0.6577 0.6577 0.0000  2 Li 2.42, 2 Zn 2.42


(5)
This record from the Open Quantum Materials Database describes an optimized crystal structure of BaHfB. The functional is GGA-PBE.

Polymorph energy (0 for the lowest one)   0 meV/atom

abc: 4.6395 4.6395 4.6395
angles: 60.00 60.00 60.00
With the nearest neighbours (Å) after each atom.
Element x y z (fractional)
Ba 0.0000 0.0000 0.0000  4 B 2.84
Hf 0.5000 0.5000 0.5000  4 B 2.84
B 0.2500 0.2500 0.2500  4 Hf 2.84, 4 Ba 2.84


(6)
This record from the Open Quantum Materials Database describes an optimized crystal structure of DyZr2P3. The functional is GGA-PBE.

DFT total energy   -46.6 eV/cell

abc: 3.8251 3.8251 9.3466
angles: 90.00 90.00 120.00
With the nearest neighbours (Å) after each atom.
Element x y z (fractional)
Dy 0.0000 0.0000 0.0000  6 P 2.78
Zr 0.3333 0.6667 0.3452  6 P 2.64-2.69
Zr 0.6667 0.3333 0.6548  6 P 2.64-2.69
P 0.0000 0.0000 0.5000  6 Zr 2.64
P 0.3333 0.6667 0.8199  3 Zr 2.69, 3 Dy 2.78
P 0.6667 0.3333 0.1801  3 Zr 2.69, 3 Dy 2.78


(7)
This record from the Open Quantum Materials Database describes an optimized crystal structure of ErAgTeS. The functional is GGA-PBE.

Polymorph energy (0 for the lowest one)   0 meV/atom

abc: 4.3571 6.8113 6.8363
angles: 90.00 91.77 90.00
With the nearest neighbours (Å) after each atom.
Element x y z (fractional)
Er 0.2145 0.0000 0.2914  3 S 2.72-2.82
Er 0.7855 0.5000 0.7086  3 S 2.72-2.82
Ag 0.0045 0.4823 0.2516  2 S 2.68-2.71, 2 Te 2.79-2.81
Ag 0.9955 0.9823 0.7484  2 S 2.68-2.71, 2 Te 2.79-2.81
Te 0.2967 0.2874 0.9467  2 Ag 2.79-2.81, 3 Er 3.08-3.09
Te 0.7033 0.7874 0.0533  2 Ag 2.79-2.81, 3 Er 3.08-3.09
S 0.2636 0.6931 0.5492  2 Ag 2.68-2.71, 3 Er 2.72-2.82
S 0.7364 0.1931 0.4508  2 Ag 2.68-2.71, 3 Er 2.72-2.82


(8)
This record from the Open Quantum Materials Database describes an optimized crystal structure of ScCdHg2Br6. The functional is GGA-PBE.

DFT total energy   -25.8 eV/cell

abc: 7.6794 7.6794 7.6794
angles: 60.00 60.00 60.00
With the nearest neighbours (Å) after each atom.
Element x y z (fractional)
Sc 0.0000 0.0000 0.0000  6 Br 2.65
Cd 0.5000 0.5000 0.5000  6 Br 2.78
Hg 0.2500 0.2500 0.2500  12 Br 3.84
Hg 0.7500 0.7500 0.7500  12 Br 3.84
Br 0.2441 0.2441 0.7559  1 Sc 2.65, 1 Cd 2.78
Br 0.2441 0.7559 0.2441  1 Sc 2.65, 1 Cd 2.78
Br 0.2441 0.7559 0.7559  1 Sc 2.65, 1 Cd 2.78
Br 0.7559 0.2441 0.2441  1 Sc 2.65, 1 Cd 2.78
Br 0.7559 0.2441 0.7559  1 Sc 2.65, 1 Cd 2.78
Br 0.7559 0.7559 0.2441  1 Sc 2.65, 1 Cd 2.78


(9)
This record from the Open Quantum Materials Database describes an optimized crystal structure of YLu2Co. The functional is GGA-PBE.

Energy of formation   0.251 eV/atom

abc: 5.0859 5.0859 5.0859
angles: 60.00 60.00 60.00
With the nearest neighbours (Å) after each atom.
Element x y z (fractional)
Y 0.0000 0.0000 0.0000  4 Lu 3.11, 4 Co 3.11
Lu 0.5000 0.5000 0.5000  4 Lu 3.11, 4 Co 3.11
Lu 0.7500 0.7500 0.7500  4 Y 3.11, 4 Lu 3.11
Co 0.2500 0.2500 0.2500  4 Lu 3.11, 4 Y 3.11


(10)
This record from the Open Quantum Materials Database describes an optimized crystal structure of PrAlGa. The functional is GGA-PBE.

DFT total energy   -13.3 eV/cell

abc: 4.3525 4.3525 4.3255
angles: 90.00 90.00 120.00
With the nearest neighbours (Å) after each atom.
Element x y z (fractional)
Pr 0.0000 0.0000 0.0000  6 Al 3.32, 6 Ga 3.32
Al 0.3333 0.6667 0.5000  3 Ga 2.51
Ga 0.6667 0.3333 0.5000  3 Al 2.51


(11)
This record from the Open Quantum Materials Database describes an optimized crystal structure of TaGaTe. The functional is GGA-PBE.

Polymorph energy (0 for the lowest one)   248 meV/atom

abc: 4.6358 4.6358 4.6358
angles: 60.00 60.00 60.00
With the nearest neighbours (Å) after each atom.
Element x y z (fractional)
Ta 0.0000 0.0000 0.0000  4 Te 2.84
Ga 0.5000 0.5000 0.5000  4 Te 2.84
Te 0.7500 0.7500 0.7500  4 Ta 2.84, 4 Ga 2.84


(12)
This record from the Open Quantum Materials Database describes an optimized crystal structure of CsSb5W3. The functional is GGA-PBE.

DFT total energy   -59.1 eV/cell

abc: 5.6574 5.6574 9.7290
angles: 90.00 90.00 120.00
With the nearest neighbours (Å) after each atom.
Element x y z (fractional)
Cs 0.0000 0.0000 0.0000  12 Sb 4.13
Sb 0.0000 0.0000 0.5000  6 W 2.83
Sb 0.3333 0.6667 0.2597  3 W 2.85
Sb 0.3333 0.6667 0.7403  3 W 2.85
Sb 0.6667 0.3333 0.2597  3 W 2.85
Sb 0.6667 0.3333 0.7403  3 W 2.85
W 0.0000 0.5000 0.5000  4 W 2.83, 6 Sb 2.83-2.85
W 0.5000 0.0000 0.5000  4 W 2.83, 6 Sb 2.83-2.85
W 0.5000 0.5000 0.5000  4 W 2.83, 6 Sb 2.83-2.85